# Ca3V2O7 (meta-GGA SCAN, PBEsol geometry)
# * ΔE_f (raw): -3.051 eV/atom
# * final energy: -576.80 eV for the cell shown
# * M_tot: 0.000 μB per atom
data_Ca3V2O7
_cell_length_a 19.3414
_cell_length_b 5.2872
_cell_length_c 5.2599
_cell_angle_alpha 90.00
_cell_angle_beta 90.00
_cell_angle_gamma 90.00
_symmetry_space_group_name_H-M 'C m c 21'
_symmetry_Int_Tables_number 36
_symmetry_space_group_name_Hall 'C 2c -2'
loop_
_atom_site_label
_atom_site_fract_x
_atom_site_fract_y
_atom_site_fract_z
_atom_site_occupancy
Ca1 0.0000 0.2452 0.0000 1
Ca2 0.1870 0.2366 0.9614 1
V1 0.0974 0.2532 0.4772 1
O1 0.0000 0.2937 0.4727 1
O2 0.0887 0.0287 0.7567 1
O3 0.1052 0.4705 0.1981 1
O4 0.1974 0.2086 0.4855 1

---

# Ca10V6O25 (meta-GGA SCAN, PBEsol geometry)
# * ΔE_f (raw): -3.085 eV/atom
# * final energy: -483.83 eV for the cell shown
# * energy relative to the lowest polymorph listed for this composition: 0.023 eV per atom
# * M_tot: 0.002 μB per atom
data_Ca10V6O25
_cell_length_a 9.7893
_cell_length_b 9.7893
_cell_length_c 6.7228
_cell_angle_alpha 90.00
_cell_angle_beta 90.00
_cell_angle_gamma 120.00
_symmetry_space_group_name_H-M 'P -3'
_symmetry_Int_Tables_number 147
_symmetry_space_group_name_Hall '-P 3'
loop_
_atom_site_label
_atom_site_fract_x
_atom_site_fract_y
_atom_site_fract_z
_atom_site_occupancy
Ca1 0.0152 0.7730 0.2283 1
Ca2 0.3333 0.6667 0.0174 1
Ca3 0.3333 0.6667 0.5208 1
V1 0.0279 0.4032 0.2594 1
O1 0.0000 0.0000 0.0000 1
O2 0.0682 0.3054 0.4396 1
O3 0.1038 0.3664 0.0505 1
O4 0.1317 0.6063 0.2874 1
O5 0.1685 0.6693 0.7623 1

---

# Ca2V3O8 (meta-GGA SCAN, PBEsol geometry)
# * ΔE_f (raw): -2.815 eV/atom
# * final energy: -316.48 eV for the cell shown
# * energy relative to the lowest polymorph listed for this composition: 0.111 eV per atom
# * M_tot: 0.231 μB per atom
data_Ca2V3O8
_cell_length_a 5.7971
_cell_length_b 5.7971
_cell_length_c 10.6183
_cell_angle_alpha 90.00
_cell_angle_beta 90.00
_cell_angle_gamma 120.00
_symmetry_space_group_name_H-M 'P 63'
_symmetry_Int_Tables_number 173
_symmetry_space_group_name_Hall 'P 6c'
loop_
_atom_site_label
_atom_site_fract_x
_atom_site_fract_y
_atom_site_fract_z
_atom_site_occupancy
Ca1 0.3333 0.6667 0.0000 1
Ca2 0.3333 0.6667 0.4305 1
V1 0.1531 0.3116 0.7317 1
O1 0.0000 0.0000 0.3422 1
O2 0.0364 0.5180 0.8289 1
O3 0.1557 0.3113 0.1335 1
O4 0.3333 0.6667 0.6382 1

---

# CaV4O10 (meta-GGA SCAN, PBEsol geometry)
# * ΔE_f (raw): -2.651 eV/atom
# * final energy: -363.37 eV for the cell shown
# * energy relative to the lowest polymorph listed for this composition: 0.045 eV per atom
# * M_tot: 0.133 μB per atom
data_CaV4O10
_cell_length_a 11.2112
_cell_length_b 3.6408
_cell_length_c 10.9809
_cell_angle_alpha 90.00
_cell_angle_beta 90.00
_cell_angle_gamma 90.00
_symmetry_space_group_name_H-M 'A m m 2'
_symmetry_Int_Tables_number 38
_symmetry_space_group_name_Hall 'A 2 -2'
loop_
_atom_site_label
_atom_site_fract_x
_atom_site_fract_y
_atom_site_fract_z
_atom_site_occupancy
Ca1 0.0000 0.0000 0.0000 1
V1 0.1539 0.0000 0.3046 1
V2 0.3506 0.0000 0.8947 1
O1 0.0000 0.0000 0.3842 1
O2 0.1309 0.0000 0.1583 1
O3 0.1706 0.0000 0.8578 1
O4 0.3172 0.0000 0.3474 1
O5 0.3601 0.0000 0.0383 1
O6 0.5000 0.0000 0.8423 1

---

# Ca5V3O12 (meta-GGA SCAN, PBEsol geometry)
# * ΔE_f (raw): -3.108 eV/atom
# * final energy: -950.88 eV for the cell shown
# * M_tot: 0.052 μB per atom
data_Ca5V3O12
_cell_length_a 6.7126
_cell_length_b 15.9598
_cell_length_c 10.3107
_cell_angle_alpha 90.00
_cell_angle_beta 90.00
_cell_angle_gamma 90.00
_symmetry_space_group_name_H-M 'P n m a'
_symmetry_Int_Tables_number 62
_symmetry_space_group_name_Hall '-P 2ac 2n'
loop_
_atom_site_label
_atom_site_fract_x
_atom_site_fract_y
_atom_site_fract_z
_atom_site_occupancy
Ca1 0.0427 0.2500 0.1827 1
Ca2 0.1238 0.5927 0.5671 1
Ca3 0.1858 0.6068 0.1706 1
V1 0.0291 0.2500 0.5766 1
V2 0.1376 0.5721 0.8720 1
O1 0.0439 0.1214 0.0356 1
O2 0.0486 0.6565 0.3566 1
O3 0.0545 0.7500 0.5813 1
O4 0.0691 0.0088 0.7681 1
O5 0.1889 0.0396 0.4876 1
O6 0.2186 0.7500 0.0925 1
O7 0.2265 0.6516 0.7715 1

---

# CaV4O10 (meta-GGA SCAN, PBEsol geometry)
# * ΔE_f (raw): -2.696 eV/atom
# * final energy: -182.37 eV for the cell shown
# * energy relative to the lowest polymorph listed for this composition: 0.000 eV per atom
# * M_tot: 0.065 μB per atom
data_CaV4O10
_cell_length_a 3.6071
_cell_length_b 11.3122
_cell_length_c 4.5834
_cell_angle_alpha 90.00
_cell_angle_beta 90.00
_cell_angle_gamma 90.00
_symmetry_space_group_name_H-M 'P m m 2'
_symmetry_Int_Tables_number 25
_symmetry_space_group_name_Hall 'P 2 -2'
loop_
_atom_site_label
_atom_site_fract_x
_atom_site_fract_y
_atom_site_fract_z
_atom_site_occupancy
Ca1 0.0000 0.0000 0.0000 1
V1 0.0000 0.3481 0.2276 1
V2 0.5000 0.1544 0.4628 1
O1 0.0000 0.1695 0.3469 1
O2 0.0000 0.3413 0.8801 1
O3 0.0000 0.5000 0.3110 1
O4 0.5000 0.0000 0.3315 1
O5 0.5000 0.1272 0.8178 1
O6 0.5000 0.3154 0.3463 1

---

# CaV2O6 (meta-GGA SCAN, PBEsol geometry)
# * ΔE_f (raw): -2.826 eV/atom
# * final energy: -214.92 eV for the cell shown
# * M_tot: 0.000 μB per atom
data_CaV2O6
_cell_length_a 10.3216
_cell_length_b 3.6200
_cell_length_c 7.1609
_cell_angle_alpha 90.00
_cell_angle_beta 102.66
_cell_angle_gamma 90.00
_symmetry_space_group_name_H-M 'C 1 2/m 1'
_symmetry_Int_Tables_number 12
_symmetry_space_group_name_Hall '-C 2y'
loop_
_atom_site_label
_atom_site_fract_x
_atom_site_fract_y
_atom_site_fract_z
_atom_site_occupancy
Ca1 0.0000 0.0000 0.0000 1
V1 0.2421 0.0000 0.6736 1
O1 0.1016 0.0000 0.7424 1
O2 0.1325 0.5000 0.1315 1
O3 0.2431 0.0000 0.3966 1

---

# CaV4O8 (meta-GGA SCAN, PBEsol geometry)
# * ΔE_f (raw): -2.704 eV/atom
# * final energy: -493.85 eV for the cell shown
# * energy relative to the lowest polymorph listed for this composition: 0.021 eV per atom
# * M_tot: 0.209 μB per atom
data_CaV4O8
_cell_length_a 5.6066
_cell_length_b 5.6066
_cell_length_c 16.9873
_cell_angle_alpha 90.00
_cell_angle_beta 90.00
_cell_angle_gamma 120.00
_symmetry_space_group_name_H-M 'R -3 m'
_symmetry_Int_Tables_number 166
_symmetry_space_group_name_Hall '-R 3 2"'
loop_
_atom_site_label
_atom_site_fract_x
_atom_site_fract_y
_atom_site_fract_z
_atom_site_occupancy
Ca1 0.0000 0.0000 0.0000 1
V1 0.0000 0.0000 0.5000 1
V2 0.0000 0.5000 0.5000 1
O1 0.0000 0.0000 0.2283 1
O2 0.0015 0.5008 0.7678 1

---

# Ca2V2O7 (meta-GGA SCAN, PBEsol geometry)
# * ΔE_f (raw): -3.031 eV/atom
# * final energy: -262.54 eV for the cell shown
# * M_tot: 0.000 μB per atom
data_Ca2V2O7
_cell_length_a 6.6407
_cell_length_b 6.9222
_cell_length_c 7.0040
_cell_angle_alpha 85.78
_cell_angle_beta 63.79
_cell_angle_gamma 82.59
_symmetry_space_group_name_H-M 'P -1'
_symmetry_Int_Tables_number 2
_symmetry_space_group_name_Hall '-P 1'
loop_
_atom_site_label
_atom_site_fract_x
_atom_site_fract_y
_atom_site_fract_z
_atom_site_occupancy
Ca1 0.2371 0.4479 0.2375 1
Ca2 0.2420 0.8396 0.8299 1
V1 0.2253 0.9491 0.3449 1
V2 0.3026 0.3328 0.7331 1
O1 0.0365 0.9030 0.6309 1
O2 0.1407 0.1783 0.9206 1
O3 0.1541 0.4465 0.6034 1
O4 0.2561 0.7850 0.1695 1
O5 0.3640 0.5059 0.8615 1
O6 0.3918 0.1297 0.2369 1
O7 0.4495 0.7998 0.4389 1

---

# Ca10V6O25 (meta-GGA SCAN, PBEsol geometry)
# * ΔE_f (raw): -3.108 eV/atom
# * final energy: -484.78 eV for the cell shown
# * energy relative to the lowest polymorph listed for this composition: 0.000 eV per atom
# * M_tot: 0.001 μB per atom
data_Ca10V6O25
_cell_length_a 9.9130
_cell_length_b 9.9130
_cell_length_c 6.8299
_cell_angle_alpha 90.00
_cell_angle_beta 90.00
_cell_angle_gamma 120.00
_symmetry_space_group_name_H-M 'P 3'
_symmetry_Int_Tables_number 143
_symmetry_space_group_name_Hall 'P 3'
loop_
_atom_site_label
_atom_site_fract_x
_atom_site_fract_y
_atom_site_fract_z
_atom_site_occupancy
Ca1 0.0000 0.0000 0.0000 1
Ca2 0.0000 0.0000 0.4898 1
Ca3 0.3333 0.6667 0.4954 1
Ca4 0.3333 0.6667 0.9935 1
Ca5 0.3827 0.0608 0.7446 1
Ca6 0.4596 0.3581 0.2447 1
V1 0.0264 0.7220 0.7447 1
V2 0.0864 0.3667 0.2446 1
O1 0.0208 0.4218 0.0457 1
O2 0.0212 0.4221 0.4438 1
O3 0.0245 0.1732 0.2448 1
O4 0.0748 0.1948 0.7451 1
O5 0.1590 0.6601 0.7445 1
O6 0.1897 0.7138 0.2443 1
O7 0.3437 0.2459 0.5502 1
O8 0.3444 0.2464 0.9388 1
O9 0.6667 0.3333 0.2455 1

---

# Ca2V3O8 (meta-GGA SCAN, PBEsol geometry)
# * ΔE_f (raw): -2.927 eV/atom
# * final energy: -319.37 eV for the cell shown
# * energy relative to the lowest polymorph listed for this composition: 0.000 eV per atom
# * M_tot: 0.231 μB per atom
data_Ca2V3O8
_cell_length_a 11.1433
_cell_length_b 5.8976
_cell_length_c 4.9255
_cell_angle_alpha 90.00
_cell_angle_beta 110.54
_cell_angle_gamma 90.00
_symmetry_space_group_name_H-M 'C 1 2/m 1'
_symmetry_Int_Tables_number 12
_symmetry_space_group_name_Hall '-C 2y'
loop_
_atom_site_label
_atom_site_fract_x
_atom_site_fract_y
_atom_site_fract_z
_atom_site_occupancy
Ca1 0.2306 0.0000 0.1679 1
V1 0.0000 0.2261 0.5000 1
V2 0.0000 0.5000 0.0000 1
O1 0.0961 0.5000 0.4045 1
O2 0.1024 0.2772 0.8929 1
O3 0.1085 0.0000 0.4559 1

---

# CaV4O8 (meta-GGA SCAN, PBEsol geometry)
# * ΔE_f (raw): -2.725 eV/atom
# * final energy: -329.79 eV for the cell shown
# * energy relative to the lowest polymorph listed for this composition: 0.000 eV per atom
# * M_tot: 0.462 μB per atom
data_CaV4O8
_cell_length_a 13.0537
_cell_length_b 2.9117
_cell_length_c 9.6353
_cell_angle_alpha 90.00
_cell_angle_beta 132.12
_cell_angle_gamma 90.00
_symmetry_space_group_name_H-M 'C 1 m 1'
_symmetry_Int_Tables_number 8
_symmetry_space_group_name_Hall 'C -2y'
loop_
_atom_site_label
_atom_site_fract_x
_atom_site_fract_y
_atom_site_fract_z
_atom_site_occupancy
Ca1 0.0000 0.0000 0.0000 1
V1 0.1650 0.0000 0.5512 1
V2 0.2055 0.5000 0.9106 1
V3 0.3480 0.0000 0.2463 1
V4 0.3842 0.5000 0.5987 1
O1 0.0740 0.0000 0.8051 1
O2 0.1816 0.5000 0.6981 1
O3 0.1868 0.5000 0.4397 1
O4 0.1996 0.5000 0.1174 1
O5 0.3490 0.0000 0.0334 1
O6 0.3742 0.0000 0.4652 1
O7 0.3783 0.0000 0.7441 1
O8 0.4772 0.5000 0.3576 1

---

# Ca2W3O8 (meta-GGA SCAN, PBEsol geometry)
# * ΔE_f (raw): -2.389 eV/atom
# * final energy: -618.59 eV for the cell shown
# * M_tot: 0.000 μB per atom
data_Ca2W3O8
_cell_length_a 5.8644
_cell_length_b 5.8644
_cell_length_c 11.6034
_cell_angle_alpha 90.00
_cell_angle_beta 90.00
_cell_angle_gamma 120.00
_symmetry_space_group_name_H-M 'P 63 m c'
_symmetry_Int_Tables_number 186
_symmetry_space_group_name_Hall 'P 6c -2c'
loop_
_atom_site_label
_atom_site_fract_x
_atom_site_fract_y
_atom_site_fract_z
_atom_site_occupancy
Ca1 0.3333 0.6667 0.0000 1
Ca2 0.3333 0.6667 0.4057 1
W1 0.1832 0.3664 0.6922 1
O1 0.0000 0.0000 0.1046 1
O2 0.0396 0.5198 0.5775 1
O3 0.1622 0.3245 0.2768 1
O4 0.3333 0.6667 0.8164 1